(1)
The following is a DFT calculation (PBE) of crystalline Ho11In9Hg4 at its relaxed geometry.

abc: 13.478 13.478 3.722
angles: 90.00 90.00 113.06
Element x y z (fractional)
1 Ho 0.000 0.000 0.000
2 Ho 0.059 0.410 0.000
3 Ho 0.161 0.839 0.000
4 Ho 0.287 0.287 0.000
5 Ho 0.362 0.638 0.000
6 Ho 0.410 0.059 0.000
7 Ho 0.590 0.941 0.000
8 Ho 0.638 0.362 0.000
9 Ho 0.713 0.713 0.000
10 Ho 0.839 0.161 0.000
11 Ho 0.941 0.590 0.000
12 In 0.059 0.211 0.500
13 In 0.153 0.633 0.500
14 In 0.211 0.059 0.500
15 In 0.367 0.847 0.500
16 In 0.500 0.500 0.500
17 In 0.633 0.153 0.500
18 In 0.789 0.941 0.500
19 In 0.847 0.367 0.500
20 In 0.941 0.789 0.500
21 Hg 0.250 0.448 0.500
22 Hg 0.448 0.250 0.500
23 Hg 0.552 0.750 0.500
24 Hg 0.750 0.552 0.500

Properties
space group	No. 65
calculated formation energy	-0.4428	eV per atom
DOS at the Fermi energy	15.8	states/eV/cell

---

(2)
The following is a DFT calculation (PBE) of crystalline Ca at its relaxed geometry.

abc: 9.207 9.207 9.207
angles: 109.47 109.47 109.47
Element x y z (fractional)
1 Ca 0.250 0.500 0.750
2 Ca 0.250 0.750 0.500
3 Ca 0.500 0.250 0.750
4 Ca 0.500 0.750 0.250
5 Ca 0.750 0.250 0.500
6 Ca 0.750 0.500 0.250

Properties
space group	No. 229
calculated formation energy	1.0865	eV per atom
DOS at the Fermi energy	11.1	states/eV/cell
energy above the lowest structure with this stoichiometry	104.8	kJ per mole of atoms

---

(3)
The following is a DFT calculation (PBE) of crystalline AlP2Cl at its relaxed geometry.

abc: 5.866 5.866 4.488
angles: 100.62 100.62 31.18
Element x y z (fractional)
1 Al 0.000 0.000 0.000
2 P 0.284 0.284 0.873
3 P 0.716 0.716 0.127
4 Cl 0.500 0.500 0.500

Properties
space group	No. 12
formation energy without anion corrections	-0.01	eV per atom
DOS at the Fermi energy	1.4	states/eV/cell
energy above the lowest structure with this stoichiometry	27.7	kJ per mole of atoms

---

(4)
The following is a DFT calculation (PBE) of crystalline NpGa4Pd15 at its relaxed geometry.

abc: 3.996 3.996 19.578
angles: 90.00 90.00 90.00
Element x y z (fractional)
1 Np 0.000 0.000 0.000
2 Ga 0.000 0.000 0.212
3 Ga 0.000 0.000 0.403
4 Ga 0.000 0.000 0.597
5 Ga 0.000 0.000 0.788
6 Pd 0.000 0.500 0.106
7 Pd 0.000 0.500 0.305
8 Pd 0.000 0.500 0.500
9 Pd 0.000 0.500 0.695
10 Pd 0.000 0.500 0.894
11 Pd 0.500 0.000 0.106
12 Pd 0.500 0.000 0.305
13 Pd 0.500 0.000 0.500
14 Pd 0.500 0.000 0.695
15 Pd 0.500 0.000 0.894
16 Pd 0.500 0.500 0.000
17 Pd 0.500 0.500 0.205
18 Pd 0.500 0.500 0.403
19 Pd 0.500 0.500 0.597
20 Pd 0.500 0.500 0.795

Properties
space group	No. 123
calculated formation energy	-0.4497	eV per atom
DOS at the Fermi energy	25.3	states/eV/cell

---

(5)
The following is a DFT calculation (PBE) of crystalline SrZn2InGa at its relaxed geometry.

abc: 6.512 6.512 6.512
angles: 140.27 139.67 57.90
Element x y z (fractional)
1 Sr 0.000 0.000 0.000
2 Zn 0.613 0.613 0.000
3 Zn 0.756 0.256 0.500
4 In 0.247 0.747 0.500
5 Ga 0.392 0.392 0.000

Properties
space group	No. 44
calculated formation energy	-0.3091	eV per atom
DOS at the Fermi energy	2.0	states/eV/cell

---

(6)
The following is a DFT calculation (PBE) of crystalline PtAuSe2 at its relaxed geometry.

abc: 6.853 6.853 6.853
angles: 31.93 31.93 31.93
Element x y z (fractional)
1 Pt 0.000 0.000 0.000
2 Au 0.500 0.500 0.500
3 Se 0.262 0.262 0.262
4 Se 0.738 0.738 0.738

Properties
space group	No. 166
formation energy without anion corrections	-0.08	eV per atom
DOS at the Fermi energy	1.1	states/eV/cell

---

(7)
The following is a DFT calculation (PBE) of crystalline B2C at its relaxed geometry.

abc: 4.506 4.506 4.972
angles: 97.87 97.87 116.02
Element x y z (fractional)
1 B 0.011 0.011 0.178
2 B 0.238 0.565 0.758
3 B 0.362 0.362 0.094
4 B 0.435 0.762 0.242
5 B 0.565 0.238 0.758
6 B 0.638 0.638 0.906
7 B 0.762 0.435 0.242
8 B 0.989 0.989 0.822
9 C 0.111 0.768 0.337
10 C 0.232 0.889 0.663
11 C 0.768 0.111 0.337
12 C 0.889 0.232 0.663

Properties
space group	No. 12
calculated formation energy	0.4239	eV per atom
DOS at the Fermi energy	0.2	states/eV/cell
energy above the lowest structure with this stoichiometry	23.0	kJ per mole of atoms

---

(8)
The following is a DFT calculation (PBE) of crystalline KMgTlSn at its relaxed geometry.

abc: 5.476 5.476 5.476
angles: 60.00 60.00 60.00
Element x y z (fractional)
1 K 0.000 0.000 0.000
2 Mg 0.500 0.500 0.500
3 Tl 0.750 0.750 0.750
4 Sn 0.250 0.250 0.250

Properties
space group	No. 216
calculated formation energy	-0.0637	eV per atom
DOS at the Fermi energy	0.4	states/eV/cell

---

(9)
The following is a DFT calculation (PBE) of crystalline Tl2ZnAs2 at its relaxed geometry.

abc: 6.608 6.608 5.804
angles: 90.00 90.00 90.00
Element x y z (fractional)
1 Tl 0.181 0.319 0.000
2 Tl 0.319 0.819 0.000
3 Tl 0.681 0.181 0.000
4 Tl 0.819 0.681 0.000
5 Zn 0.000 0.000 0.500
6 Zn 0.500 0.500 0.500
7 As 0.131 0.631 0.500
8 As 0.369 0.131 0.500
9 As 0.631 0.869 0.500
10 As 0.869 0.369 0.500

Properties
space group	No. 127
calculated formation energy	0.0154	eV per atom
DOS at the Fermi energy	2.1	states/eV/cell
energy above the lowest structure with this stoichiometry	0.0	kJ per mole of atoms

---

(10)
The following is a DFT calculation (PBE) of crystalline AcCe2Ru at its relaxed geometry.

abc: 3.628 3.628 8.449
angles: 90.00 90.00 90.00
Element x y z (fractional)
1 Ac 0.000 0.000 0.000
2 Ce 0.500 0.500 0.322
3 Ce 0.500 0.500 0.678
4 Ru 0.000 0.000 0.500

Properties
space group	No. 123
calculated formation energy	-0.0705	eV per atom
DOS at the Fermi energy	8.5	states/eV/cell
energy above the lowest structure with this stoichiometry	10.9	kJ per mole of atoms

---

(11)
The following is a DFT calculation (PBE) of crystalline Tb2HoEr3Se6 at its relaxed geometry.

abc: 9.078 9.078 8.156
angles: 103.36 103.36 25.75
Element x y z (fractional)
1 Tb 0.167 0.167 0.334
2 Tb 0.833 0.833 0.666
3 Ho 0.500 0.500 0.000
4 Er 0.168 0.168 0.833
5 Er 0.500 0.500 0.500
6 Er 0.832 0.832 0.167
7 Se 0.001 0.001 0.750
8 Se 0.333 0.333 0.921
9 Se 0.335 0.335 0.414
10 Se 0.665 0.665 0.586
11 Se 0.667 0.667 0.079
12 Se 0.999 0.999 0.250

Properties
space group	No. 12
formation energy without anion corrections	-1.72	eV per atom
DOS at the Fermi energy	5.5	states/eV/cell

---

(12)
The following is a DFT calculation (PBE) of crystalline BaGa2Br at its relaxed geometry.

abc: 5.539 5.539 5.539
angles: 60.00 60.00 60.00
Element x y z (fractional)
1 Ba 0.000 0.000 0.000
2 Ga 0.250 0.250 0.250
3 Ga 0.750 0.750 0.750
4 Br 0.500 0.500 0.500

Properties
space group	No. 225
formation energy without anion corrections	-0.18	eV per atom
DOS at the Fermi energy	3.9	states/eV/cell
energy above the lowest structure with this stoichiometry	36.6	kJ per mole of atoms

---

(13)
The following is a DFT calculation (PBE) of crystalline Ca2Ac2Ru at its relaxed geometry.

abc: 5.689 5.689 5.888
angles: 90.00 90.00 90.00
Element x y z (fractional)
1 Ca 0.000 0.000 0.000
2 Ca 0.500 0.500 0.000
3 Ac 0.000 0.500 0.500
4 Ac 0.500 0.000 0.500
5 Ru 0.000 0.000 0.500

Properties
space group	No. 123
calculated formation energy	-0.0893	eV per atom
DOS at the Fermi energy	3.6	states/eV/cell
energy above the lowest structure with this stoichiometry	0.0	kJ per mole of atoms